No. 1
! CaBe2Te | Alexandria via LeMat-Bulk | PBE-GGA | relaxed; values from VASP
! Raw formation energy: 0.18 eV/f.u.
! Calculated density: 3.4 g/cm³
! E: -3.104 eV per atom
! Symmetry: Pmmm (47)
&SYSTEM
  ibrav = 0, nat = 4, ntyp = 3
/
ATOMIC_SPECIES
Ca 40.08 Ca.upf
Be 9.01 Be.upf
Te 127.60 Te.upf
ATOMIC_POSITIONS crystal
Ca 0.0000 0.0000 0.0000
Be 0.5000 0.2451 0.5000
Be 0.5000 0.7549 0.5000
Te 0.5000 0.5000 0.0000
CELL_PARAMETERS angstrom
4.3015 0.0000 0.0000
0.0000 4.4308 0.0000
0.0000 0.0000 4.7378

---

No. 2
! CaBeTe2 | Alexandria via LeMat-Bulk | PBE-GGA | relaxed; values from VASP
! Raw formation energy: -2.03 eV/f.u.
! Calculated density: 4.5 g/cm³
! E: -3.510 eV per atom
! Symmetry: P2/m (10)
&SYSTEM
  ibrav = 0, nat = 4, ntyp = 3
/
ATOMIC_SPECIES
Ca 40.08 Ca.upf
Be 9.01 Be.upf
Te 127.60 Te.upf
ATOMIC_POSITIONS crystal
Ca 0.0000 0.0000 0.0000
Be 0.5000 0.0000 0.5000
Te 0.4338 0.5000 0.7324
Te 0.5662 0.5000 0.2676
CELL_PARAMETERS angstrom
4.1870 0.0000 0.0000
0.0000 3.7418 0.0000
-1.4239 0.0000 7.0917

---

No. 3
! Ca2BeTe | Alexandria via LeMat-Bulk | PBE-GGA | relaxed; values from VASP
! Excess energy over the best structure of this formula in the dataset: 24.1 kJ/mol of atoms
! Raw formation energy: -0.74 eV/f.u.
! Calculated density: 3.0 g/cm³
! E: -2.902 eV per atom
! Symmetry: I-42d (122)
&SYSTEM
  ibrav = 0, nat = 8, ntyp = 3
/
ATOMIC_SPECIES
Ca 40.08 Ca.upf
Be 9.01 Be.upf
Te 127.60 Te.upf
ATOMIC_POSITIONS crystal
Ca 0.1060 0.6250 0.9810
Ca 0.3750 0.3560 0.4810
Ca 0.6440 0.1250 0.0190
Ca 0.8750 0.8940 0.5190
Be 0.0000 0.0000 0.0000
Be 0.7500 0.2500 0.5000
Te 0.2500 0.7500 0.5000
Te 0.5000 0.5000 0.0000
CELL_PARAMETERS angstrom
-4.0241 4.0241 3.6984
4.0241 -4.0241 3.6984
4.0241 4.0241 -3.6984

---

No. 4
! CaBeTe2 | Alexandria via LeMat-Bulk | PBE-GGA | relaxed; values from VASP
! Raw formation energy: -2.24 eV/f.u.
! Calculated density: 4.4 g/cm³
! E: -3.564 eV per atom
! Symmetry: P4mm (99)
&SYSTEM
  ibrav = 0, nat = 4, ntyp = 3
/
ATOMIC_SPECIES
Ca 40.08 Ca.upf
Be 9.01 Be.upf
Te 127.60 Te.upf
ATOMIC_POSITIONS crystal
Ca 0.0000 0.0000 0.0000
Be 0.5000 0.5000 0.5279
Te 0.0000 0.0000 0.4501
Te 0.5000 0.5000 0.8729
CELL_PARAMETERS angstrom
4.0883 0.0000 0.0000
0.0000 4.0883 0.0000
0.0000 0.0000 6.9296

---

No. 5
! CaBeTe2 | Alexandria via LeMat-Bulk | PBE-GGA | relaxed; values from VASP
! Raw formation energy: -3.33 eV/f.u.
! Calculated density: 4.3 g/cm³
! E: -3.836 eV per atom
! Symmetry: I-42d (122)
&SYSTEM
  ibrav = 0, nat = 8, ntyp = 3
/
ATOMIC_SPECIES
Ca 40.08 Ca.upf
Be 9.01 Be.upf
Te 127.60 Te.upf
ATOMIC_POSITIONS crystal
Ca 0.0000 0.0000 0.0000
Ca 0.7500 0.2500 0.5000
Be 0.2500 0.7500 0.5000
Be 0.5000 0.5000 0.0000
Te 0.1997 0.6250 0.0747
Te 0.3750 0.4497 0.5747
Te 0.5503 0.1250 0.9253
Te 0.8750 0.8003 0.4253
CELL_PARAMETERS angstrom
-3.5494 3.5494 4.6217
3.5494 -3.5494 4.6217
3.5494 3.5494 -4.6217

---

No. 6
! CaBeTe2 | Alexandria via LeMat-Bulk | PBE-GGA | relaxed; values from VASP
! Raw formation energy: -3.16 eV/f.u.
! Calculated density: 4.2 g/cm³
! E: -3.793 eV per atom
! Symmetry: Cm (8)
&SYSTEM
  ibrav = 0, nat = 4, ntyp = 3
/
ATOMIC_SPECIES
Ca 40.08 Ca.upf
Be 9.01 Be.upf
Te 127.60 Te.upf
ATOMIC_POSITIONS crystal
Ca 0.0000 0.0000 0.0000
Be 0.2749 0.2749 0.2230
Te 0.4376 0.4376 0.4825
Te 0.7051 0.7051 0.0089
CELL_PARAMETERS angstrom
6.5249 -2.0212 0.0000
6.5249 2.0212 0.0000
-0.4114 0.0000 4.5926

---

No. 7
! CaBeTe | Alexandria via LeMat-Bulk | PBE-GGA | relaxed; values from VASP
! Excess energy over the best structure of this formula in the dataset: 0.0 kJ/mol of atoms
! Raw formation energy: -1.17 eV/f.u.
! Calculated density: 4.0 g/cm³
! E: -3.347 eV per atom
! Symmetry: P3m1 (156)
&SYSTEM
  ibrav = 0, nat = 3, ntyp = 3
/
ATOMIC_SPECIES
Ca 40.08 Ca.upf
Be 9.01 Be.upf
Te 127.60 Te.upf
ATOMIC_POSITIONS crystal
Ca 0.0000 0.0000 0.0000
Be 0.3333 0.6667 0.6500
Te 0.6667 0.3333 0.4642
CELL_PARAMETERS angstrom
3.9789 0.0000 0.0000
-1.9895 3.4459 0.0000
0.0000 0.0000 5.3488

---

No. 8
! CaBe2Te | Alexandria via LeMat-Bulk | PBE-GGA | relaxed; values from VASP
! Raw formation energy: 0.96 eV/f.u.
! Calculated density: 3.6 g/cm³
! E: -2.908 eV per atom
! Symmetry: I-42d (122)
&SYSTEM
  ibrav = 0, nat = 8, ntyp = 3
/
ATOMIC_SPECIES
Ca 40.08 Ca.upf
Be 9.01 Be.upf
Te 127.60 Te.upf
ATOMIC_POSITIONS crystal
Ca 0.0000 0.0000 0.0000
Ca 0.7500 0.2500 0.5000
Be 0.1800 0.6250 0.0550
Be 0.3750 0.4300 0.5550
Be 0.5700 0.1250 0.9450
Be 0.8750 0.8200 0.4450
Te 0.2500 0.7500 0.5000
Te 0.5000 0.5000 0.0000
CELL_PARAMETERS angstrom
-3.8370 3.8370 2.9181
3.8370 -3.8370 2.9181
3.8370 3.8370 -2.9181

---

> Which of these has the highest E?

Ca2BeTe